# PBE-GGA LaDy2Rh2, relaxed
# Symmetry: No. 63
# Energy of formation from the pure elements in eV per atom: -0.68
data_LaDy2Rh2
_chemical_formula_sum 'La2 Dy4 Rh4'
_cell_length_a 3.882
_cell_length_b 6.862
_cell_length_c 10.002
_cell_angle_alpha 90.00
_cell_angle_beta 90.00
_cell_angle_gamma 106.43
_symmetry_space_group_name_H-M 'P 1'
_symmetry_Int_Tables_number 1
_symmetry_space_group_name_Hall 'P 1'
loop_
_atom_site_label
_atom_site_type_symbol
_atom_site_fract_x
_atom_site_fract_y
_atom_site_fract_z
_atom_site_occupancy
La1 La 0.906 0.811 0.147 1
La2 La 0.094 0.189 0.647 1
Dy1 Dy 0.646 0.291 0.967 1
Dy2 Dy 0.354 0.709 0.827 1
Dy3 Dy 0.354 0.709 0.467 1
Dy4 Dy 0.646 0.291 0.327 1
Rh1 Rh 0.242 0.485 0.147 1
Rh2 Rh 0.000 0.000 0.897 1
Rh3 Rh 0.758 0.515 0.647 1
Rh4 Rh 0.000 0.000 0.397 1


# PBE-GGA Pr8Er, relaxed
# Symmetry: No. 139
# Energy of formation from the pure elements in eV per atom: 0.01
data_Pr8Er
_chemical_formula_sum 'Pr8 Er1'
_cell_length_a 5.221
_cell_length_b 8.258
_cell_length_c 8.258
_cell_angle_alpha 84.26
_cell_angle_beta 71.57
_cell_angle_gamma 71.57
_symmetry_space_group_name_H-M 'P 1'
_symmetry_Int_Tables_number 1
_symmetry_space_group_name_Hall 'P 1'
loop_
_atom_site_label
_atom_site_type_symbol
_atom_site_fract_x
_atom_site_fract_y
_atom_site_fract_z
_atom_site_occupancy
Pr1 Pr 0.335 0.000 0.330 1
Pr2 Pr 0.665 0.000 0.670 1
Pr3 Pr 0.665 0.670 0.000 1
Pr4 Pr 0.000 0.668 0.332 1
Pr5 Pr 0.332 0.668 0.668 1
Pr6 Pr 0.668 0.332 0.332 1
Pr7 Pr 0.000 0.332 0.668 1
Pr8 Pr 0.335 0.330 0.000 1
Er1 Er 0.000 0.000 0.000 1


# PBE-GGA LaTaMo, relaxed
# ΔE to the lowest computed polymorph in meV/atom: 41
# Symmetry: No. 107
# Energy of formation from the pure elements in eV per atom: 0.32
data_LaTaMo
_chemical_formula_sum 'La1 Ta1 Mo1'
_cell_length_a 6.299
_cell_length_b 6.299
_cell_length_c 6.299
_cell_angle_alpha 148.69
_cell_angle_beta 148.69
_cell_angle_gamma 44.87
_symmetry_space_group_name_H-M 'P 1'
_symmetry_Int_Tables_number 1
_symmetry_space_group_name_Hall 'P 1'
loop_
_atom_site_label
_atom_site_type_symbol
_atom_site_fract_x
_atom_site_fract_y
_atom_site_fract_z
_atom_site_occupancy
La1 La 0.994 0.994 0.000 1
Mo1 Mo 0.306 0.306 0.000 1
Ta1 Ta 0.700 0.700 0.000 1


# PBE-GGA UPd4Pt2, relaxed
# Symmetry: No. 64
# Energy of formation from the pure elements in eV per atom: -0.27
data_UPd4Pt2
_chemical_formula_sum 'U2 Pd8 Pt4'
_cell_length_a 5.247
_cell_length_b 10.289
_cell_length_c 5.190
_cell_angle_alpha 90.00
_cell_angle_beta 120.37
_cell_angle_gamma 90.00
_symmetry_space_group_name_H-M 'P 1'
_symmetry_Int_Tables_number 1
_symmetry_space_group_name_Hall 'P 1'
loop_
_atom_site_label
_atom_site_type_symbol
_atom_site_fract_x
_atom_site_fract_y
_atom_site_fract_z
_atom_site_occupancy
U1 U 0.000 0.000 0.000 1
U2 U 0.500 0.500 0.000 1
Pd1 Pd 0.784 0.824 0.569 1
Pd2 Pd 0.216 0.176 0.431 1
Pd3 Pd 0.716 0.324 0.431 1
Pd4 Pd 0.284 0.676 0.569 1
Pd5 Pd 0.711 0.250 0.923 1
Pd6 Pd 0.789 0.750 0.077 1
Pd7 Pd 0.211 0.250 0.923 1
Pd8 Pd 0.289 0.750 0.077 1
Pt1 Pt 0.646 0.057 0.293 1
Pt2 Pt 0.354 0.943 0.707 1
Pt3 Pt 0.854 0.557 0.707 1
Pt4 Pt 0.146 0.443 0.293 1


# PBE-GGA MgTe2N, relaxed
# ΔE to the lowest computed polymorph in meV/atom: 521
# Symmetry: No. 225
# E_form (uncorrected) in meV/atom: 964.4
data_MgTe2N
_chemical_formula_sum 'Mg1 Te2 N1'
_cell_length_a 4.969
_cell_length_b 4.969
_cell_length_c 4.969
_cell_angle_alpha 60.00
_cell_angle_beta 60.00
_cell_angle_gamma 60.00
_symmetry_space_group_name_H-M 'P 1'
_symmetry_Int_Tables_number 1
_symmetry_space_group_name_Hall 'P 1'
loop_
_atom_site_label
_atom_site_type_symbol
_atom_site_fract_x
_atom_site_fract_y
_atom_site_fract_z
_atom_site_occupancy
Mg1 Mg 0.500 0.500 0.500 1
Te1 Te 0.250 0.250 0.250 1
Te2 Te 0.750 0.750 0.750 1
N1 N 0.000 0.000 0.000 1


# PBE-GGA BaYB12, relaxed
# Symmetry: No. 225
# Energy of formation from the pure elements in eV per atom: -0.40
data_BaYB12
_chemical_formula_sum 'Ba1 Y1 B12'
_cell_length_a 5.920
_cell_length_b 5.920
_cell_length_c 5.920
_cell_angle_alpha 60.00
_cell_angle_beta 60.00
_cell_angle_gamma 60.00
_symmetry_space_group_name_H-M 'P 1'
_symmetry_Int_Tables_number 1
_symmetry_space_group_name_Hall 'P 1'
loop_
_atom_site_label
_atom_site_type_symbol
_atom_site_fract_x
_atom_site_fract_y
_atom_site_fract_z
_atom_site_occupancy
Ba1 Ba 0.000 0.000 0.000 1
Y1 Y 0.500 0.500 0.500 1
B1 B 0.899 0.899 0.601 1
B2 B 0.399 0.399 0.101 1
B3 B 0.601 0.899 0.601 1
B4 B 0.101 0.399 0.101 1
B5 B 0.899 0.601 0.601 1
B6 B 0.399 0.101 0.101 1
B7 B 0.899 0.601 0.899 1
B8 B 0.399 0.101 0.399 1
B9 B 0.601 0.899 0.899 1
B10 B 0.101 0.399 0.399 1
B11 B 0.601 0.601 0.899 1
B12 B 0.101 0.101 0.399 1


# PBE-GGA Sr4IrRh, relaxed
# Symmetry: No. 216
# Energy of formation from the pure elements in eV per atom: 1.07
data_Sr4IrRh
_chemical_formula_sum 'Sr4 Ir1 Rh1'
_cell_length_a 6.290
_cell_length_b 6.290
_cell_length_c 6.290
_cell_angle_alpha 60.00
_cell_angle_beta 60.00
_cell_angle_gamma 60.00
_symmetry_space_group_name_H-M 'P 1'
_symmetry_Int_Tables_number 1
_symmetry_space_group_name_Hall 'P 1'
loop_
_atom_site_label
_atom_site_type_symbol
_atom_site_fract_x
_atom_site_fract_y
_atom_site_fract_z
_atom_site_occupancy
Sr1 Sr 0.375 0.874 0.375 1
Sr2 Sr 0.874 0.375 0.375 1
Sr3 Sr 0.375 0.375 0.874 1
Sr4 Sr 0.375 0.375 0.375 1
Ir1 Ir 0.750 0.750 0.750 1
Rh1 Rh 0.000 0.000 0.000 1


# PBE-GGA RbCeH2F8, relaxed
# Final energy in eV/cell: -58.35
# Symmetry: No. 2
data_RbCeH2F8
_chemical_formula_sum 'Rb1 Ce1 H2 F8'
_cell_length_a 4.530
_cell_length_b 4.716
_cell_length_c 9.241
_cell_angle_alpha 89.44
_cell_angle_beta 89.85
_cell_angle_gamma 68.38
_symmetry_space_group_name_H-M 'P 1'
_symmetry_Int_Tables_number 1
_symmetry_space_group_name_Hall 'P 1'
loop_
_atom_site_label
_atom_site_type_symbol
_atom_site_fract_x
_atom_site_fract_y
_atom_site_fract_z
_atom_site_occupancy
Rb1 Rb 0.000 0.000 0.500 1
Ce1 Ce 0.000 0.000 0.000 1
H1 H 0.488 0.512 0.798 1
H2 H 0.512 0.488 0.202 1
F1 F 0.258 0.736 0.190 1
F2 F 0.722 0.730 0.998 1
F3 F 0.717 0.288 0.200 1
F4 F 0.742 0.264 0.810 1
F5 F 0.278 0.270 0.002 1
F6 F 0.283 0.712 0.800 1
F7 F 0.637 0.623 0.499 1
F8 F 0.363 0.377 0.501 1


# PBE-GGA In3ReAg, relaxed
# ΔE to the lowest computed polymorph in meV/atom: 682
# Symmetry: No. 221
# Energy of formation from the pure elements in eV per atom: 1.34
data_In3ReAg
_chemical_formula_sum 'In3 Re1 Ag1'
_cell_length_a 5.192
_cell_length_b 5.192
_cell_length_c 5.192
_cell_angle_alpha 90.00
_cell_angle_beta 90.00
_cell_angle_gamma 90.00
_symmetry_space_group_name_H-M 'P 1'
_symmetry_Int_Tables_number 1
_symmetry_space_group_name_Hall 'P 1'
loop_
_atom_site_label
_atom_site_type_symbol
_atom_site_fract_x
_atom_site_fract_y
_atom_site_fract_z
_atom_site_occupancy
Re1 Re 0.500 0.500 0.500 1
Ag1 Ag 0.000 0.000 0.000 1
In1 In 0.000 0.500 0.000 1
In2 In 0.000 0.000 0.500 1
In3 In 0.500 0.000 0.000 1


# PBE-GGA TbPmSiIr, relaxed
# ΔE to the lowest computed polymorph in meV/atom: 284
# Symmetry: No. 216
# E_form (uncorrected) in meV/atom: -530.3
data_TbPmSiIr
_chemical_formula_sum 'Tb1 Pm1 Si1 Ir1'
_cell_length_a 5.007
_cell_length_b 5.007
_cell_length_c 5.007
_cell_angle_alpha 60.00
_cell_angle_beta 60.00
_cell_angle_gamma 60.00
_symmetry_space_group_name_H-M 'P 1'
_symmetry_Int_Tables_number 1
_symmetry_space_group_name_Hall 'P 1'
loop_
_atom_site_label
_atom_site_type_symbol
_atom_site_fract_x
_atom_site_fract_y
_atom_site_fract_z
_atom_site_occupancy
Si1 Si 0.000 0.000 0.000 1
Ir1 Ir 0.500 0.500 0.500 1
Tb1 Tb 0.250 0.250 0.250 1
Pm1 Pm 0.750 0.750 0.750 1


# PBE-GGA Sr2AlAsS, relaxed
# Symmetry: No. 123
# E_form (uncorrected) in meV/atom: -135.3
data_Sr2AlAsS
_chemical_formula_sum 'Sr2 Al1 As1 S1'
_cell_length_a 5.930
_cell_length_b 5.930
_cell_length_c 4.918
_cell_angle_alpha 90.00
_cell_angle_beta 90.00
_cell_angle_gamma 90.00
_symmetry_space_group_name_H-M 'P 1'
_symmetry_Int_Tables_number 1
_symmetry_space_group_name_Hall 'P 1'
loop_
_atom_site_label
_atom_site_type_symbol
_atom_site_fract_x
_atom_site_fract_y
_atom_site_fract_z
_atom_site_occupancy
Sr1 Sr 0.000 0.500 0.000 1
Sr2 Sr 0.500 0.000 0.000 1
As1 As 0.000 0.000 0.000 1
S1 S 0.000 0.000 0.500 1
Al1 Al 0.500 0.500 0.500 1


# PBE-GGA AcTmCo4, relaxed
# Symmetry: No. 216
# Energy of formation from the pure elements in eV per atom: 0.00
data_AcTmCo4
_chemical_formula_sum 'Ac1 Tm1 Co4'
_cell_length_a 5.185
_cell_length_b 5.185
_cell_length_c 5.185
_cell_angle_alpha 60.00
_cell_angle_beta 60.00
_cell_angle_gamma 60.00
_symmetry_space_group_name_H-M 'P 1'
_symmetry_Int_Tables_number 1
_symmetry_space_group_name_Hall 'P 1'
loop_
_atom_site_label
_atom_site_type_symbol
_atom_site_fract_x
_atom_site_fract_y
_atom_site_fract_z
_atom_site_occupancy
Ac1 Ac 0.250 0.250 0.250 1
Tm1 Tm 0.000 0.000 0.000 1
Co1 Co 0.626 0.626 0.121 1
Co2 Co 0.626 0.121 0.626 1
Co3 Co 0.626 0.626 0.626 1
Co4 Co 0.121 0.626 0.626 1